Entry from the Alexandria database: a relaxed structure of WCNF2 (PBE with a Hubbard U).

a b c (Å): 4.1514 4.1514 3.9591
angles (deg): 90.00 90.00 90.00
Fractional coordinates of all 5 atoms:
W  0.0000  0.0000  0.0000
C  0.5000  0.5000  0.5000
N  0.0000  0.0000  0.5000
F  0.0000  0.5000  0.0000
F  0.5000  0.0000  0.0000

Final energy, eV/atom: -5.311
Space-group type: P4/mmm (123)

=====

Entry from the Alexandria database: a relaxed structure of La5V2O12 (PBE with a Hubbard U).

a b c (Å): 7.0834 7.0834 7.8210
angles (deg): 105.80 105.80 50.10
Fractional coordinates of all 19 atoms:
La  0.0000  0.0000  0.0000
La  0.3107  0.3107  0.6662
La  0.3119  0.3119  0.1453
La  0.6881  0.6881  0.8547
La  0.6893  0.6893  0.3338
V  0.2303  0.7697  0.5000
V  0.7697  0.2303  0.5000
O  0.0012  0.0012  0.6750
O  0.0940  0.5950  0.9198
O  0.1015  0.5933  0.4257
O  0.4050  0.9060  0.0802
O  0.4067  0.8985  0.5743
O  0.4992  0.4992  0.6643
O  0.5008  0.5008  0.3357
O  0.5933  0.1015  0.4257
O  0.5950  0.0940  0.9198
O  0.8985  0.4067  0.5743
O  0.9060  0.4050  0.0802
O  0.9988  0.9988  0.3250

Final energy, eV/atom: -8.231
Space-group type: C2/m (12)